(1)
VASP calculation (GGA-PBEsol) on Cs2NaReS after structural relaxation.

Space-group type: P4/mmm
Crystal system: tetragonal
Formation energy (no corrections) in eV per atom: 1.054
Density of states at the Fermi level in states/eV/cell: 5.1
Uncorrected energy in eV per atom: -3.15

Unit cell a=6.521 b=6.521 c=4.744 alpha=90.00 beta=90.00 gamma=90.00
Fractional coordinates of all 5 atoms:
Cs  0.000  0.500  0.000
Cs  0.500  0.000  0.000
Na  0.000  0.000  0.000
Re  0.500  0.500  0.500
S  0.000  0.000  0.500



(2)
VASP calculation (GGA-PBEsol) on TlTeOsBr2 after structural relaxation.

Space-group type: P4/mmm
Crystal system: tetragonal
Formation energy (no corrections) in eV per atom: 0.784
Density of states at the Fermi level in states/eV/cell: 4.9
Uncorrected energy in eV per atom: -3.64

Unit cell a=5.776 b=5.776 c=4.886 alpha=90.00 beta=90.00 gamma=90.00
Fractional coordinates of all 5 atoms:
Tl  0.000  0.000  0.000
Te  0.500  0.500  0.500
Os  0.500  0.500  0.000
Br  0.000  0.500  0.500
Br  0.500  0.000  0.500



(3)
VASP calculation (GGA-PBEsol) on TcTe2As after structural relaxation.

Space-group type: R-3m
Crystal system: trigonal
Formation energy (no corrections) in eV per atom: 0.795
Density of states at the Fermi level in states/eV/cell: 4.5
Uncorrected energy in eV per atom: -5.06

Unit cell a=11.655 b=11.655 c=11.655 alpha=14.75 beta=14.75 gamma=14.75
Fractional coordinates of all 4 atoms:
Tc  0.000  0.000  0.000
Te  0.076  0.076  0.076
Te  0.924  0.924  0.924
As  0.500  0.500  0.500



(4)
VASP calculation (GGA-PBEsol) on CrIn2Si after structural relaxation.

Space-group type: P4/mmm
Crystal system: tetragonal
Formation energy (no corrections) in eV per atom: 0.422
Density of states at the Fermi level in states/eV/cell: 2.3
Uncorrected energy in eV per atom: -5.07

Unit cell a=4.176 b=4.176 c=4.237 alpha=90.00 beta=90.00 gamma=90.00
Fractional coordinates of all 4 atoms:
Cr  0.000  0.000  0.000
In  0.000  0.500  0.500
In  0.500  0.000  0.500
Si  0.500  0.500  0.000



- Among the records above, which one has the highest formation energy (no corrections)?
  Cs2NaReS



What did the first record say?
VASP calculation (GGA-PBEsol) on Cs2NaReS after structural relaxation.

Space-group type: P4/mmm
Crystal system: tetragonal
Formation energy (no corrections) in eV per atom: 1.054
Density of states at the Fermi level in states/eV/cell: 5.1
Uncorrected energy in eV per atom: -3.15

Unit cell a=6.521 b=6.521 c=4.744 alpha=90.00 beta=90.00 gamma=90.00
Fractional coordinates of all 5 atoms:
Cs  0.000  0.500  0.000
Cs  0.500  0.000  0.000
Na  0.000  0.000  0.000
Re  0.500  0.500  0.500
S  0.000  0.000  0.500



Please write out number 1 again, unchanged.
VASP calculation (GGA-PBEsol) on Cs2NaReS after structural relaxation.

Space-group type: P4/mmm
Crystal system: tetragonal
Formation energy (no corrections) in eV per atom: 1.054
Density of states at the Fermi level in states/eV/cell: 5.1
Uncorrected energy in eV per atom: -3.15

Unit cell a=6.521 b=6.521 c=4.744 alpha=90.00 beta=90.00 gamma=90.00
Fractional coordinates of all 5 atoms:
Cs  0.000  0.500  0.000
Cs  0.500  0.000  0.000
Na  0.000  0.000  0.000
Re  0.500  0.500  0.500
S  0.000  0.000  0.500